Record 1
ZrPb3: relaxed, GGA-PBEsol.

Properties
calculated volume: 26.35 Å³ per atom
spin magnetization: 0.00 μB per cell
theoretical density: 11.229 g cm⁻³
final energy: -21.415 eV per formula unit
space-group type: Pnma (62)

The structure in POSCAR format:
```
ZrPb3
1.0
7.2676 0.0000 0.0000
0.0000 9.6158 0.0000
0.0000 0.0000 6.0334
Zr Pb
4 12
Direct
0.1359 0.2500 0.1333
0.3641 0.7500 0.6333
0.6359 0.2500 0.3667
0.8641 0.7500 0.8667
0.0034 0.7500 0.3562
0.1987 0.5327 0.9201
0.1987 0.9673 0.9201
0.3013 0.0327 0.4201
0.3013 0.4673 0.4201
0.4966 0.2500 0.8562
0.5034 0.7500 0.1438
0.6987 0.5327 0.5799
0.6987 0.9673 0.5799
0.8013 0.0327 0.0799
0.8013 0.4673 0.0799
0.9966 0.2500 0.6438
```

***

Record 2
Li2CoPCO7: relaxed, GGA-PBEsol.

Properties
calculated volume: 10.12 Å³ per atom
spin magnetization: 0.00 μB per cell
theoretical density: 3.116 g cm⁻³
final energy: -85.510 eV per formula unit
raw formation energy: -21.659 eV/f.u.
space-group type: P2_1/m (11)

The structure in POSCAR format:
```
Li2CoPCO7
1.0
4.8528 0.0000 0.0000
0.0000 6.1050 0.0000
-0.5668 0.0000 8.1958
Li Co P C O
4 2 2 2 14
Direct
0.2315 0.0007 0.2595
0.2315 0.4993 0.2595
0.7685 0.5007 0.7405
0.7685 0.9993 0.7405
0.2025 0.2500 0.8345
0.7975 0.7500 0.1655
0.2811 0.7500 0.9202
0.7189 0.2500 0.0798
0.2755 0.2500 0.5575
0.7245 0.7500 0.4425
0.0339 0.2500 0.6189
0.1588 0.7500 0.0891
0.1775 0.5543 0.8147
0.1775 0.9457 0.8147
0.3150 0.2500 0.4091
0.3985 0.2500 0.0494
0.4737 0.2500 0.6759
0.5263 0.7500 0.3241
0.6015 0.7500 0.9506
0.6850 0.7500 0.5909
0.8225 0.0543 0.1853
0.8225 0.4457 0.1853
0.8412 0.2500 0.9109
0.9661 0.7500 0.3811
```

***

Record 3
Cd2OsRu: relaxed, GGA-PBEsol.

Properties
calculated volume: 16.15 Å³ per atom
spin magnetization: 0.00 μB per cell
theoretical density: 13.271 g cm⁻³
final energy: -22.869 eV per formula unit
space-group type: Cm (8)

The structure in POSCAR format:
```
Cd2OsRu
1.0
4.5233 -1.4178 0.0000
4.5233 1.4178 0.0000
-0.7795 0.0000 5.0350
Cd Os Ru
2 1 1
Direct
0.0000 0.0000 0.0000
0.2424 0.2424 0.7666
0.4888 0.4888 0.4708
0.7534 0.7534 0.2974
```

***

Record 4
Zr2InGa: relaxed, GGA-PBEsol.

Properties
calculated volume: 19.87 Å³ per atom
spin magnetization: 0.00 μB per cell
theoretical density: 7.667 g cm⁻³
final energy: -25.644 eV per formula unit
space-group type: Fm-3m (225)

The structure in POSCAR format:
```
Zr2InGa
1.0
0.0000 3.4126 3.4126
3.4126 0.0000 3.4126
3.4126 3.4126 0.0000
Zr In Ga
2 1 1
Direct
0.2500 0.2500 0.2500
0.7500 0.7500 0.7500
0.0000 0.0000 0.0000
0.5000 0.5000 0.5000
```

***

Record 5
SrRe2W: relaxed, GGA-PBEsol.

Properties
calculated volume: 16.93 Å³ per atom
spin magnetization: 0.00 μB per cell
theoretical density: 15.785 g cm⁻³
final energy: -37.912 eV per formula unit
space-group type: F-43m (216)

The structure in POSCAR format:
```
SrRe2W
1.0
0.0000 3.2354 3.2354
3.2354 0.0000 3.2354
3.2354 3.2354 0.0000
Sr Re W
1 2 1
Direct
0.0000 0.0000 0.0000
0.2500 0.2500 0.2500
0.5000 0.5000 0.5000
0.7500 0.7500 0.7500
```

***

Record 6
RbGe2P2: relaxed, GGA-PBEsol.

Properties
calculated volume: 23.04 Å³ per atom
spin magnetization: 0.00 μB per cell
theoretical density: 4.219 g cm⁻³
final energy: -22.704 eV per formula unit
space-group type: I4/mmm (139)

The structure in POSCAR format:
```
RbGe2P2
1.0
-2.3142 2.3142 5.3776
2.3142 -2.3142 5.3776
2.3142 2.3142 -5.3776
Rb Ge P
1 2 2
Direct
0.0000 0.0000 0.0000
0.3353 0.3353 0.0000
0.6647 0.6647 0.0000
0.2500 0.7500 0.5000
0.7500 0.2500 0.5000
```